(1)
Crystalline Na3YCl at its relaxed geometry. Source: the Alexandria database, functional PBE.

Structure (CIF):
```
data_Na3YCl
_chemical_formula_sum 'Na3 Y1 Cl1'
_symmetry_space_group_name_H-M 'P m -3 m'
_symmetry_Int_Tables_number 221
_symmetry_space_group_name_Hall '-P 4 2 3'
_cell_length_a 5.513
_cell_length_b 5.513
_cell_length_c 5.513
_cell_angle_alpha 90.00
_cell_angle_beta 90.00
_cell_angle_gamma 90.00
loop_
_atom_site_label
_atom_site_fract_x
_atom_site_fract_y
_atom_site_fract_z
_atom_site_occupancy
Na1 0.000 0.000 0.500 1
Y1 0.500 0.500 0.500 1
Cl1 0.000 0.000 0.000 1
```

Properties
Crystal system   cubic
Calculated density   1.92 g/cm3
Offset from the most stable computed form   0 meV per atom

(2)
Crystalline CaTeW2I at its relaxed geometry. Source: the Alexandria database, functional PBE.

Structure (CIF):
```
data_CaTeW2I
_chemical_formula_sum 'Ca1 Te1 W2 I1'
_symmetry_space_group_name_H-M 'P 4/m m m'
_symmetry_Int_Tables_number 123
_symmetry_space_group_name_Hall '-P 4 2'
_cell_length_a 4.944
_cell_length_b 4.944
_cell_length_c 5.713
_cell_angle_alpha 90.00
_cell_angle_beta 90.00
_cell_angle_gamma 90.00
loop_
_atom_site_label
_atom_site_fract_x
_atom_site_fract_y
_atom_site_fract_z
_atom_site_occupancy
Ca1 0.000 0.000 0.000 1
Te1 0.500 0.500 0.000 1
W1 0.000 0.500 0.500 1
I1 0.000 0.000 0.500 1
```

Properties
Crystal system   tetragonal
E_tot   -23.7 eV for the cell shown
Calculated density   7.87 g/cm3

(3)
Crystalline NaAlSbO5 at its relaxed geometry. Source: the Alexandria database, functional PBE.

Structure (CIF):
```
data_NaAlSbO5
_chemical_formula_sum 'Na4 Al4 Sb4 O20'
_symmetry_space_group_name_H-M 'C 1 2/c 1'
_symmetry_Int_Tables_number 15
_cell_length_a 6.946
_cell_length_b 9.060
_cell_length_c 7.526
_cell_angle_alpha 90.00
_cell_angle_beta 116.14
_cell_angle_gamma 90.00
loop_
_symmetry_equiv_pos_as_xyz
'x,y,z'
'-x,-y,-z'
'-x,y,-z+1/2'
'x,-y,z+1/2'
'x+1/2,y+1/2,z'
'-x+1/2,-y+1/2,-z'
'-x+1/2,y+1/2,-z+1/2'
'x+1/2,-y+1/2,z+1/2'
loop_
_atom_site_label
_atom_site_fract_x
_atom_site_fract_y
_atom_site_fract_z
_atom_site_occupancy
Na1 0.000 0.170 0.250 1
Al1 0.000 0.190 0.750 1
Sb1 0.000 0.500 0.000 1
O1 0.000 0.424 0.250 1
O2 0.092 0.299 0.607 1
O3 0.196 0.060 0.901 1
```

Properties
Crystal system   monoclinic
E_tot   -193.4 eV for the cell shown
Calculated density   3.93 g/cm3

> Among the records above, which one has the lowest calculated density?

Na3YCl

> calculated density of number 3 (NaAlSbO5)?

3.93 g/cm3

> Among the records above, which one has the highest calculated density?

CaTeW2I

> Number 2 is which compound?

CaTeW2I